Record 1
Nd3PN: optimized geometry, PBE.

Summary:
E_form (uncorrected)	-5.2	eV/f.u.
space-group type	No. 11
raw total energy	-6.643	eV/atom
V	28.0	A^3/atom
magnetization	0.0001	μB per atom

```
10
Lattice="4.018 0.000 0.000 0.000 6.715 -0.690 0.000 -3.899 10.779" Properties=species:S:1:pos:R:3 pbc="T T T"
P 1.004 0.328 1.694
Nd 1.004 0.594 7.570
P 3.013 2.488 8.394
Nd 3.013 5.189 0.198
Nd 1.004 -1.107 4.218
Nd 3.013 2.221 2.519
Nd 3.013 3.923 5.871
N 1.004 -1.535 6.666
Nd 1.004 -2.374 9.891
N 3.013 4.350 3.422
```

Record 2
NdPN3: optimized geometry, PBE.

Summary:
E_form (uncorrected)	-1.1	eV/f.u.
space-group type	No. 176
raw total energy	-7.259	eV/atom
V	13.3	A^3/atom
magnetization	0.1978	μB per atom

```
10
Lattice="-2.908 -1.384 3.821 4.502 -0.812 3.132 2.037 4.154 3.055" Properties=species:S:1:pos:R:3 pbc="T T T"
Nd -0.001 0.076 4.928
P -2.181 -1.038 2.865
N 1.157 2.356 3.368
N 0.465 -0.045 1.971
N 2.474 -0.398 6.640
N 0.895 1.965 6.294
Nd 3.632 1.882 5.080
N 3.167 2.003 8.037
N 2.736 -0.007 3.714
P -0.727 -0.346 0.955
```

Record 3
NdPN3: optimized geometry, PBE.

Summary:
E_form (uncorrected)	-1.6	eV/f.u.
space-group type	No. 11
raw total energy	-7.346	eV/atom
V	12.7	A^3/atom
magnetization	0.0000	μB per atom

```
10
Lattice="-2.779 0.184 -1.021 -0.261 -4.451 4.221 -1.528 4.865 5.035" Properties=species:S:1:pos:R:3 pbc="T T T"
N -1.524 -0.755 6.175
Nd -1.190 -2.793 4.887
N -3.044 1.353 2.060
N -1.960 -1.063 2.982
N -2.046 0.906 7.894
N -2.609 1.661 5.253
Nd -3.378 3.390 3.348
N -2.522 -0.308 0.341
P -3.081 -0.262 1.868
P -1.488 0.860 6.367
```

Record 4
Nd4P2N: optimized geometry, PBE.

Summary:
E_form (uncorrected)	-7.1	eV/f.u.
space-group type	No. 139
raw total energy	-6.470	eV/atom
V	24.5	A^3/atom
magnetization	0.0000	μB per atom

```
7
Lattice="4.723 0.000 0.000 0.000 4.723 0.000 2.362 2.362 7.684" Properties=species:S:1:pos:R:3 pbc="T T T"
P 4.723 4.723 5.602
Nd 2.362 2.362 5.026
Nd 2.362 0.000 0.000
Nd 0.000 2.362 0.000
P 2.362 2.362 2.082
Nd 4.723 4.723 2.658
N 0.000 0.000 0.000
```

Number 3 is which compound?
NdPN3